# Tm3ZnGa (PBE, optimized geometry)
# crystal system	monoclinic
# D(E_F)	24.6	states/eV/cell
# ΔE to the lowest computed polymorph	56	meV/atom
# V	24.330	Å³ per atom
# formation energy	-322.5	meV/atom
data_Tm3ZnGa
_space_group_name_H-M_alt 'C 1 2/c 1'
_space_group_IT_number 15
_cell_length_a 16.161
_cell_length_b 9.490
_cell_length_c 6.346
_cell_angle_alpha 90.00
_cell_angle_beta 90.06
_cell_angle_gamma 90.00
loop_
_space_group_symop_operation_xyz
'x,y,z'
'-x,-y,-z'
'-x,y,-z+1/2'
'x,-y,z+1/2'
'x+1/2,y+1/2,z'
'-x+1/2,-y+1/2,-z'
'-x+1/2,y+1/2,-z+1/2'
'x+1/2,-y+1/2,z+1/2'
loop_
_atom_site_label
_atom_site_type_symbol
_atom_site_fract_x
_atom_site_fract_y
_atom_site_fract_z
_atom_site_occupancy
Tm1 Tm 0.061 0.250 0.000 1
Tm2 Tm 0.147 0.072 0.501 1
Tm3 Tm 0.148 0.429 0.500 1
Zn1 Zn 0.250 0.250 0.196 1
Ga1 Ga 0.000 0.000 0.250 1
Ga2 Ga 0.000 0.500 0.250 1